! ZrCo2Cu (PBE, relaxed); values from VASP
! E   -6.54 eV/atom
! M_tot   0.45 μB/atom
! N(E_F)   1.23 states/eV/atom
&SYSTEM
  ibrav = 0, nat = 4, ntyp = 3
/
ATOMIC_SPECIES
Zr 91.22 Zr.upf
Co 58.93 Co.upf
Cu 63.55 Cu.upf
CELL_PARAMETERS angstrom
2.6576 -4.2138 0.0000
2.6576 4.2138 0.0000
-1.1514 0.0000 2.4788
ATOMIC_POSITIONS crystal
Zr 0.0000 0.0000 0.0000
Co 0.0000 0.5000 0.5000
Co 0.5000 0.0000 0.5000
Cu 0.5000 0.5000 0.0000